DFT (GGA-PBE) results for an optimized crystal structure of HoScRu. Values from VASP.

Computed properties:
* space-group type: No. 216
* relative energy among the computed polymorphs: 138 meV/atom
* formation enthalpy at 0 K: -307 meV per atom

```
&SYSTEM
  ibrav = 0, nat = 12, ntyp = 3
/
ATOMIC_SPECIES
Ho 164.93 Ho.upf
Sc 44.96 Sc.upf
Ru 101.07 Ru.upf
CELL_PARAMETERS angstrom
6.5404 0.0000 0.0000
0.0000 6.5404 0.0000
0.0000 0.0000 6.5404
ATOMIC_POSITIONS angstrom
Ho 0.0000 0.0000 0.0000
Ho 0.0000 3.2702 3.2702
Ho 3.2702 0.0000 3.2702
Ho 3.2702 3.2702 0.0000
Sc 0.0000 0.0000 3.2702
Sc 0.0000 3.2702 0.0000
Sc 3.2702 0.0000 0.0000
Sc 3.2702 3.2702 3.2702
Ru 1.6351 1.6351 1.6351
Ru 1.6351 4.9053 4.9053
Ru 4.9053 1.6351 4.9053
Ru 4.9053 4.9053 1.6351
```